--- i ---
Density functional theory data (GGA-PBE) for a geometry-optimized Na2Sn3Hg structure.

Output
Volume = 315.6 Å³ per cell
M_tot = 0.0000 μB/atom

Cell and atoms, written as POSCAR:
```
Na2Sn3Hg
1.0
-0.7566 -4.0552 4.5913
1.3083 -5.8938 -1.2841
8.4898 6.3423 0.9990
Sn Hg Na
6 2 4
Cartesian
6.1151 -4.0633 3.4207
2.9264 0.4567 0.8856
1.5779 -2.2450 1.2571
7.4635 -1.3617 3.0492
1.8557 -7.2543 2.9223
7.1857 3.6476 1.3840
3.2118 -4.5163 2.5421
5.8297 0.9097 1.7642
4.0045 -1.3437 3.6220
-0.2368 -4.5180 3.1122
5.0370 -2.2630 0.6843
0.7885 -5.4309 0.1950
```

--- ii ---
Density functional theory data (GGA-PBE) for a geometry-optimized Na2Sn3Hg structure.

Output
Volume = 158.3 Å³ per cell
M_tot = 0.0000 μB/atom

Cell and atoms, written as POSCAR:
```
Na2Sn3Hg
1.0
-0.0462 -2.9713 -1.1962
4.6571 0.9231 -2.4729
4.5490 -3.0597 7.4248
Sn Na Hg
3 2 1
Cartesian
5.3246 -3.0548 3.0934
3.7729 -4.0389 5.5977
0.7477 -2.0041 0.6600
2.3607 0.4399 -1.1839
2.2456 -1.5105 3.6653
3.8142 -2.0389 0.6280
```

Which structure wins on stability? ii wins.

--- i ---
Density functional theory data (GGA-PBE) for a geometry-optimized Na4Sn2Hg structure.

Output
Volume = 257.9 Å³ per cell
M_tot = 0.0000 μB/atom

Cell and atoms, written as POSCAR:
```
Na4Sn2Hg
1.0
5.8442 0.0000 0.0000
0.0000 5.8442 0.0000
2.9221 2.9221 7.5503
Sn Na Hg
2 4 1
Cartesian
2.9221 2.9221 1.3997
5.8442 5.8442 6.1506
5.8442 5.8442 3.0395
2.9221 0.0000 0.0000
2.9221 2.9221 4.5107
0.0000 2.9221 0.0000
0.0000 0.0000 0.0000
```

--- ii ---
Density functional theory data (GGA-PBE) for a geometry-optimized Na4Sn2Hg structure.

Output
Volume = 195.5 Å³ per cell
M_tot = 0.0000 μB/atom

Cell and atoms, written as POSCAR:
```
Na4Sn2Hg
1.0
-3.8440 2.1570 0.7856
2.4192 -2.1081 4.8669
4.9659 5.1271 10.2215
Hg Na Sn
1 4 2
Cartesian
2.4830 2.5635 5.1108
2.1852 0.9057 8.2060
-0.5485 1.4121 6.1977
4.0896 3.7639 9.6764
1.3559 4.2704 7.6680
0.5780 -0.2500 3.5145
2.9632 5.4260 12.3595
```

Which structure wins on stability? ii wins.

--- i ---
Density functional theory data (GGA-PBE) for a geometry-optimized NaSn3Hg3 structure.

Output
Volume = 379.0 Å³ per cell
M_tot = 0.0000 μB/atom

Cell and atoms, written as POSCAR:
```
NaSn3Hg3
1.0
5.2686 0.0000 0.0000
0.0000 9.1134 0.0000
0.0000 -4.5567 7.8924
Sn Hg Na
6 6 2
Cartesian
1.3172 7.3834 0.7095
1.3172 1.4794 1.1434
3.9515 -0.2505 1.8529
3.9515 3.0773 6.7490
3.9515 -2.8268 7.1829
1.3172 4.8072 6.0395
1.3172 -1.4038 3.9750
3.9515 4.9690 0.7718
3.9515 2.7406 3.2032
3.9515 5.9604 3.9174
1.3172 -0.4123 7.1206
1.3172 1.8161 4.6892
1.3172 4.5567 2.6308
3.9515 0.0000 5.2616
```

--- ii ---
Density functional theory data (GGA-PBE) for a geometry-optimized NaSn3Hg3 structure.

Output
Volume = 519.9 Å³ per cell
M_tot = 0.0000 μB/atom

Cell and atoms, written as POSCAR:
```
NaSn3Hg3
1.0
8.0412 0.0000 0.0000
0.0000 8.0412 0.0000
0.0000 0.0000 8.0412
Sn Na Hg
6 2 6
Cartesian
2.0103 0.0000 4.0206
0.0000 4.0206 6.0309
4.0206 2.0103 0.0000
4.0206 6.0309 0.0000
6.0309 0.0000 4.0206
0.0000 4.0206 2.0103
4.0206 4.0206 4.0206
0.0000 0.0000 0.0000
6.0309 4.0206 0.0000
4.0206 0.0000 2.0103
4.0206 0.0000 6.0309
2.0103 4.0206 0.0000
0.0000 6.0309 4.0206
0.0000 2.0103 4.0206
```

Which structure wins on stability? i wins.

--- i ---
Density functional theory data (GGA-PBE) for a geometry-optimized Na7Sn2Hg2 structure.

Output
Volume = 317.8 Å³ per cell
M_tot = 0.0000 μB/atom

Cell and atoms, written as POSCAR:
```
Na7Sn2Hg2
1.0
6.3434 -0.5795 -0.8619
-1.0594 6.2811 -0.8619
-0.0213 -0.0230 8.1086
Na Hg Sn
7 2 2
Cartesian
5.2869 2.5582 0.2957
-0.0242 3.1205 6.0891
1.1715 1.2641 3.4440
3.1133 0.2128 6.0891
2.1494 5.4659 0.2957
0.0000 0.0000 0.0000
4.0911 4.4145 2.9408
0.9123 4.4324 3.1924
4.3504 1.2462 3.1924
2.1336 2.3023 0.5335
3.1291 3.3764 5.8513
```

--- ii ---
Density functional theory data (GGA-PBE) for a geometry-optimized Na7Sn2Hg2 structure.

Output
Volume = 335.2 Å³ per cell
M_tot = 0.0000 μB/atom

Cell and atoms, written as POSCAR:
```
Na7Sn2Hg2
1.0
6.3744 -0.0012 -1.6549
0.0051 9.1825 0.0031
-2.0488 -0.0027 6.2589
Na Hg Sn
7 2 2
Cartesian
1.1445 6.3131 5.4317
2.1619 1.8695 2.3045
3.1862 2.8655 -0.8246
5.3495 2.8635 1.4780
-1.0188 6.3151 3.1291
2.1688 7.3090 2.3026
0.0000 0.0000 0.0000
1.0361 4.5903 1.1016
3.2946 4.5882 3.5055
0.3194 -0.0021 4.0339
4.0113 9.1807 0.5732
```

Which structure wins on stability? i wins.